Below is a relaxed structure of TmPa5Se6, with properties calculated at the PBE level.

Unit cell a=7.3468 b=11.9617 c=6.7986 alpha=90.00 beta=108.51 gamma=90.00
Closest atoms and distances in Å follow each position.
Space group C2/m (No. 12)
Asymmetric unit:
Tm 0.0000 0.0000 0.0000 [2 per cell]  6 Se 2.81-2.83
Pa 0.0000 0.1715 0.5000 [4 per cell]  6 Se 2.87-2.90
Pa 0.0000 0.3366 0.0000 [4 per cell]  6 Se 2.88-2.89
Pa 0.0000 0.5000 0.5000 [2 per cell]  6 Se 2.89-2.92
Se 0.2403 0.0000 0.7474 [4 per cell]  1 Tm 2.83, 5 Pa 2.88-2.92
Se 0.2431 0.1640 0.2433 [8 per cell]  1 Tm 2.81, 5 Pa 2.87-2.90

Computed properties:
Density: 10.54 g/cm3
Total magnetization: 4.34 μB/cell
Formation energy from raw total energies: -1.273 eV/atom



Below is a relaxed structure of YTm2PaSe4, with properties calculated at the PBE level.

Unit cell a=6.9963 b=3.9865 c=7.0877 alpha=90.00 beta=108.66 gamma=90.00
Closest atoms and distances in Å follow each position.
Space group P2/m (No. 10)
Asymmetric unit:
Y 0.0000 0.0000 0.0000 [1 per cell]  6 Se 2.89
Tm 0.0000 0.5000 0.5000 [1 per cell]  6 Se 2.82-2.83
Tm 0.5000 0.0000 0.5000 [1 per cell]  6 Se 2.83
Pa 0.5000 0.5000 0.0000 [1 per cell]  6 Se 2.90
Se 0.2455 0.0000 0.7411 [2 per cell]  3 Tm 2.82-2.83, 1 Y 2.89, 2 Pa 2.90
Se 0.2515 0.5000 0.2576 [2 per cell]  3 Tm 2.83, 2 Y 2.89, 1 Pa 2.90

Computed properties:
Density: 8.63 g/cm3
Total magnetization: 0.38 μB/cell
Formation energy from raw total energies: -1.556 eV/atom



Below is a relaxed structure of UPaSe2, with properties calculated at the PBE level.

Unit cell a=7.1002 b=7.1002 c=7.1002 alpha=90.00 beta=90.00 gamma=90.00
Closest atoms and distances in Å follow each position.
Space group Fm-3m (No. 225)
Asymmetric unit:
U 0.0000 0.0000 0.0000 [4 per cell]  8 Se 3.07
Pa 0.0000 0.0000 0.5000 [4 per cell]  8 Se 3.07
Se 0.2500 0.2500 0.2500 [8 per cell]  4 Pa 3.07, 4 U 3.07

Computed properties:
Density: 11.63 g/cm3
Total magnetization: 21.07 μB/cell
Formation energy from raw total energies: -0.873 eV/atom



Below is a relaxed structure of UPaSe2, with properties calculated at the PBE level.

Unit cell a=5.0320 b=5.0320 c=3.5288 alpha=90.00 beta=90.00 gamma=90.00
Closest atoms and distances in Å follow each position.
Space group P4/mmm (No. 123)
Asymmetric unit:
U 0.0000 0.0000 0.0000 [1 per cell]  8 Se 3.07
Pa 0.5000 0.5000 0.0000 [1 per cell]  8 Se 3.07
Se 0.0000 0.5000 0.5000 [2 per cell]  4 Pa 3.07, 4 U 3.07

Computed properties:
Density: 11.65 g/cm3
Total magnetization: 5.18 μB/cell
Formation energy from raw total energies: -0.881 eV/atom



Question: total magnetization of number 1 (TmPa5Se6)?
Answer: 4.34 μB/cell